Record 1
A relaxed BaTlSi2 crystal. Source: Alexandria, functional PBE.

Calculated values
Fermi-level density of states in states/eV/cell: 2.31
Distance to the lowest polymorph of the same formula in eV/f.u.: 0.995
Final energy in eV/atom: -3.663

Unit cell a=6.3602 b=6.3602 c=6.3602 alpha=45.06 beta=45.06 gamma=45.06
Fractional positions:
Ba: 0.0000 0.0000 0.0000
Tl: 0.5000 0.5000 0.5000
Si: 0.1980 0.1980 0.1980
Si: 0.8020 0.8020 0.8020

---

Record 2
A relaxed Ba4TlSi crystal. Source: Alexandria, functional PBE.

Calculated values
Fermi-level density of states in states/eV/cell: 13.56
Distance to the lowest polymorph of the same formula in eV/f.u.: 0.000
Final energy in eV/atom: -2.837

Unit cell a=9.4462 b=9.4462 c=7.5196 alpha=105.44 beta=105.44 gamma=111.49
Fractional positions:
Ba: 0.0543 0.7173 0.9273
Ba: 0.2228 0.3489 0.6969
Ba: 0.2827 0.9457 0.5727
Ba: 0.3489 0.2228 0.1969
Ba: 0.6511 0.7772 0.8031
Ba: 0.7173 0.0543 0.4273
Ba: 0.7772 0.6511 0.3031
Ba: 0.9457 0.2827 0.0727
Tl: 0.3669 0.6331 0.2500
Tl: 0.6331 0.3669 0.7500
Si: 0.0011 0.9989 0.7500
Si: 0.9989 0.0011 0.2500

---

no.,formation energy from raw total energies (eV/atom)
1,0.121
2,-0.257